Record 1
Here is an optimized crystal structure of Ag7SeF5 from Alexandria via LeMat-Bulk. Energies are from PBE-GGA.

```
Ag7SeF5
1.0
1.8146 -5.5790 0.0000
1.8146 5.5790 0.0000
0.0000 0.0000 21.3283
Ag Se F
14 2 10
Cartesian
1.8146 5.4743 10.6641
1.8146 4.2976 15.6485
1.8146 3.5979 5.9509
1.8146 2.1240 20.0069
1.8146 1.9398 1.5857
1.8146 1.2209 13.4832
1.8146 0.7663 8.4624
1.8146 -0.7663 19.1266
1.8146 -1.2209 2.8191
1.8146 -1.9398 12.2499
1.8146 -2.1240 9.3428
1.8146 -3.5979 16.6151
1.8146 -4.2976 4.9844
1.8146 -5.4743 0.0000
1.8146 1.9997 10.9358
1.8146 -1.9997 0.2717
1.8146 4.9581 13.1642
1.8146 4.5229 8.0272
1.8146 3.6131 18.0242
1.8146 2.7860 3.8208
1.8146 0.3998 15.6930
1.8146 -0.3998 5.0288
1.8146 -2.7860 14.4850
1.8146 -3.6131 7.3600
1.8146 -4.5229 18.6913
1.8146 -4.9581 2.5000
```

Formation energy without anion corrections ... -0.77 eV per atom



Record 2
Here is an optimized crystal structure of AgSeF2 from Alexandria via LeMat-Bulk. Energies are from PBE-GGA.

```
AgSeF2
1.0
0.0000 3.0641 3.0641
3.0641 0.0000 3.0641
3.0641 3.0641 0.0000
Ag Se F
1 1 2
Cartesian
0.0000 0.0000 0.0000
3.0641 3.0641 3.0641
1.5320 1.5320 1.5320
4.5961 4.5961 4.5961
```

Polymorph energy (0 for the lowest one) ... 467 meV per atom
Formation energy without anion corrections ... -0.36 eV per atom



Record 3
Here is an optimized crystal structure of Ag2SeF from Alexandria via LeMat-Bulk. Energies are from PBE-GGA.

```
Ag2SeF
1.0
1.7856 1.0309 6.7188
-1.7856 1.0309 6.7188
0.0000 -2.0618 6.7188
Ag Se F
2 1 1
Cartesian
0.0000 0.0000 0.0000
0.0000 0.0000 3.5994
0.0000 0.0000 15.2604
0.0000 0.0000 11.8359
```

Polymorph energy (0 for the lowest one) ... 40 meV per atom
Formation energy without anion corrections ... -0.45 eV per atom



Record 4
Here is an optimized crystal structure of AgSeF6 from Alexandria via LeMat-Bulk. Energies are from PBE-GGA.

```
AgSeF6
1.0
4.0260 -3.1659 0.0000
4.0260 3.1659 0.0000
-2.1469 0.0000 4.8611
Ag Se F
1 1 6
Cartesian
0.0000 0.0000 0.0000
2.9526 0.0000 2.4305
3.0951 1.3366 1.1041
1.0936 0.0000 2.1513
2.8101 1.3366 3.7570
3.0951 -1.3366 1.1041
4.8116 0.0000 2.7098
2.8101 -1.3366 3.7570
```

Polymorph energy (0 for the lowest one) ... 9 meV per atom
Formation energy without anion corrections ... -1.47 eV per atom



Record 5
Here is an optimized crystal structure of Ag8SeF6 from Alexandria via LeMat-Bulk. Energies are from PBE-GGA.

```
Ag8SeF6
1.0
4.6446 2.6815 3.4873
-4.6446 2.6815 3.4873
0.0000 -5.3631 3.4873
Ag Se F
8 1 6
Cartesian
-0.9587 -1.9463 3.7975
0.0000 0.0000 1.9388
-1.2062 1.8034 3.7975
-2.1649 -0.1429 6.6645
2.1649 0.1429 3.7975
1.2062 -1.8034 6.6645
0.0000 0.0000 8.5233
0.9587 1.9463 6.6645
0.0000 0.0000 5.2310
-2.4276 -2.4659 5.7646
-3.3493 0.8694 4.6975
0.9217 -3.3353 4.6975
-0.9217 3.3353 5.7646
3.3493 -0.8694 5.7646
2.4276 2.4659 4.6975
```

Formation energy without anion corrections ... -0.82 eV per atom



Record 6
Here is an optimized crystal structure of Ag3SeF8 from Alexandria via LeMat-Bulk. Energies are from PBE-GGA.

```
Ag3SeF8
1.0
2.8368 -5.5931 0.0000
2.8368 5.5931 0.0000
0.0000 0.0000 6.9941
Ag Se F
3 1 8
Cartesian
0.0000 0.0000 0.0000
1.4184 2.7965 5.3209
1.4184 -2.7965 1.6732
0.0000 0.0000 3.4970
2.8368 3.5773 3.4970
2.8368 3.4076 0.0000
1.3433 0.1376 4.9065
1.3433 -0.1376 2.0876
4.3304 0.1376 2.0876
4.3304 -0.1376 4.9065
2.8368 -3.4076 0.0000
2.8368 -3.5773 3.4970
```

Formation energy without anion corrections ... -1.30 eV per atom



Record 7
Here is an optimized crystal structure of Ag4SeF from Alexandria via LeMat-Bulk. Energies are from PBE-GGA.

```
Ag4SeF
1.0
6.1144 0.0000 0.0000
0.0000 6.3322 0.0000
-3.0301 0.0000 6.1829
Ag Se F
8 2 2
Cartesian
-0.4524 1.5830 2.2009
-0.3229 4.7491 2.2505
-0.3700 0.1415 4.7411
-0.3700 3.0246 4.7411
3.4543 3.3076 1.4418
3.4543 6.1907 1.4418
3.4072 1.5830 3.9323
3.5367 4.7491 3.9820
1.4660 4.7491 0.3460
1.6183 1.5830 5.8369
1.7964 1.5830 2.1068
1.2879 4.7491 4.0761
```

Polymorph energy (0 for the lowest one) ... 0 meV per atom
Formation energy without anion corrections ... -0.34 eV per atom



Record 8
Here is an optimized crystal structure of Ag2SeF from Alexandria via LeMat-Bulk. Energies are from PBE-GGA.

```
Ag2SeF
1.0
1.8645 1.0765 7.5490
-1.8645 1.0765 7.5490
0.0000 -2.1529 7.5490
Ag Se F
2 1 1
Cartesian
0.0000 0.0000 2.1431
0.0000 0.0000 20.5038
0.0000 0.0000 11.3234
0.0000 0.0000 0.0000
```

Polymorph energy (0 for the lowest one) ... 72 meV per atom
Formation energy without anion corrections ... -0.42 eV per atom



What did we get for ρ? Answer: 7.1, 6.5, 7.0, 4.0, 6.7, 4.1, 7.3, 5.7 g/cm3, in the order shown.